This record from Alexandria via LeMat-Bulk describes an optimized crystal structure of Cd2PbCl. The functional is GGA-PBEsol.

Cell and atoms, written as POSCAR:
```
Cd2PbCl
1.0
-1.612 2.555 5.875
1.612 -2.555 5.875
1.612 2.555 -5.875
Cd Pb Cl
2 1 1
direct
0.242 0.242 0.000
0.758 0.758 0.000
0.000 0.500 0.500
0.500 0.000 0.500
```

Fermi-level density of states: 0.451 states/eV/atom
energy relative to the elements, uncorrected: -18.6 kJ/mol of atoms
total energy: -2.29 eV per atom
symmetry: Immm, No. 71